{"formula": "HfAgN2", "functional": "PBE", "state": "relaxed", "raw_formation_energy_ev_per_atom": 0.27, "spacegroup": "Fm-3m", "relative_energy_mev_per_atom": 698, "lattice": [[0.0000, 2.8410, 2.8410], [2.8410, 0.0000, 2.8410], [2.8410, 2.8410, 0.0000]], "species": ["Hf", "Ag", "N", "N"], "frac_coords": [[0.5000, 0.5000, 0.5000], [0.0000, 0.0000, 0.0000], [0.2500, 0.2500, 0.2500], [0.7500, 0.7500, 0.7500]]}